Compound: TeOsRuN2
Source: Alexandria via LeMat-Bulk
Functional: PBE
Structure: relaxed

Summary:
ΔE_f (raw)	1453	meV/atom
M_tot	1.7	μB/cell
distance to the lowest polymorph of the same formula	42.3	kJ/mol of atoms
calculated total energy	-6.6067	eV/atom
SG	P4/mmm (123)

Unit cell a=3.7772 b=3.7772 c=6.0661 alpha=90.00 beta=90.00 gamma=90.00
Element x y z (fractional)
Ru (0.0000, 0.0000, 0.0000)
Te (0.0000, 0.0000, 0.5000)
Os (0.5000, 0.5000, 0.5000)
N (0.0000, 0.5000, 0.0000)
N (0.5000, 0.0000, 0.0000)


Compound: Te2OsRuN
Source: Alexandria via LeMat-Bulk
Functional: PBE
Structure: relaxed

Summary:
ΔE_f (raw)	1011	meV/atom
M_tot	0.0	μB/cell
distance to the lowest polymorph of the same formula	18.2	kJ/mol of atoms
calculated total energy	-6.0123	eV/atom
SG	P4/mmm (123)

Unit cell a=5.2407 b=5.2407 c=3.5756 alpha=90.00 beta=90.00 gamma=90.00
Element x y z (fractional)
Ru (0.0000, 0.0000, 0.0000)
Te (0.0000, 0.5000, 0.0000)
Te (0.5000, 0.0000, 0.0000)
Os (0.5000, 0.5000, 0.5000)
N (0.0000, 0.0000, 0.5000)


Compound: Te2OsRuN
Source: Alexandria via LeMat-Bulk
Functional: PBE
Structure: relaxed

Summary:
ΔE_f (raw)	822	meV/atom
M_tot	0.1	μB/cell
distance to the lowest polymorph of the same formula	0.0	kJ/mol of atoms
calculated total energy	-6.2012	eV/atom
SG	P4/mmm (123)

Unit cell a=5.3029 b=5.3029 c=3.6190 alpha=90.00 beta=90.00 gamma=90.00
Element x y z (fractional)
Ru (0.5000, 0.5000, 0.5000)
Te (0.0000, 0.5000, 0.0000)
Te (0.5000, 0.0000, 0.0000)
Os (0.0000, 0.0000, 0.0000)
N (0.0000, 0.0000, 0.5000)


Compound: OsS2N2
Source: Alexandria via LeMat-Bulk
Functional: PBE
Structure: relaxed

Summary:
ΔE_f (raw)	1970	meV/atom
M_tot	0.0	μB/cell
distance to the lowest polymorph of the same formula	103.1	kJ/mol of atoms
calculated total energy	-5.2572	eV/atom
SG	P4/mmm (123)

Unit cell a=3.5399 b=3.5399 c=4.4106 alpha=90.00 beta=90.00 gamma=90.00
Element x y z (fractional)
S (0.0000, 0.0000, 0.0000)
S (0.0000, 0.0000, 0.5000)
Os (0.5000, 0.5000, 0.5000)
N (0.0000, 0.5000, 0.0000)
N (0.5000, 0.0000, 0.0000)


Compound: OsS3N
Source: Alexandria via LeMat-Bulk
Functional: PBE
Structure: relaxed

Summary:
ΔE_f (raw)	1554	meV/atom
M_tot	2.1	μB/cell
distance to the lowest polymorph of the same formula	5.9	kJ/mol of atoms
calculated total energy	-4.8339	eV/atom
SG	Pm-3m (221)

Unit cell a=4.6247 b=4.6247 c=4.6247 alpha=90.00 beta=90.00 gamma=90.00
Element x y z (fractional)
S (0.0000, 0.5000, 0.0000)
S (0.0000, 0.0000, 0.5000)
S (0.5000, 0.0000, 0.0000)
Os (0.0000, 0.0000, 0.0000)
N (0.5000, 0.5000, 0.5000)


Compound: OsS2N2
Source: Alexandria via LeMat-Bulk
Functional: PBE
Structure: relaxed

Summary:
ΔE_f (raw)	1975	meV/atom
M_tot	0.0	μB/cell
distance to the lowest polymorph of the same formula	103.6	kJ/mol of atoms
calculated total energy	-5.2517	eV/atom
SG	P4/mmm (123)

Unit cell a=3.8347 b=3.8347 c=3.7529 alpha=90.00 beta=90.00 gamma=90.00
Element x y z (fractional)
S (0.0000, 0.5000, 0.0000)
S (0.5000, 0.0000, 0.0000)
Os (0.5000, 0.5000, 0.5000)
N (0.0000, 0.0000, 0.0000)
N (0.0000, 0.0000, 0.5000)


Compound: OsS2N2
Source: Alexandria via LeMat-Bulk
Functional: PBE
Structure: relaxed

Summary:
ΔE_f (raw)	1605	meV/atom
M_tot	1.0	μB/cell
distance to the lowest polymorph of the same formula	67.9	kJ/mol of atoms
calculated total energy	-5.6220	eV/atom
SG	P4/mmm (123)

Unit cell a=4.7671 b=4.7671 c=3.6928 alpha=90.00 beta=90.00 gamma=90.00
Element x y z (fractional)
S (0.0000, 0.5000, 0.0000)
S (0.5000, 0.0000, 0.0000)
Os (0.0000, 0.0000, 0.0000)
N (0.5000, 0.5000, 0.5000)
N (0.0000, 0.0000, 0.5000)


Compound: OsS3N
Source: Alexandria via LeMat-Bulk
Functional: PBE
Structure: relaxed

Summary:
ΔE_f (raw)	1493	meV/atom
M_tot	0.0	μB/cell
distance to the lowest polymorph of the same formula	0.0	kJ/mol of atoms
calculated total energy	-4.8949	eV/atom
SG	Pm-3m (221)

Unit cell a=3.9898 b=3.9898 c=3.9898 alpha=90.00 beta=90.00 gamma=90.00
Element x y z (fractional)
S (0.0000, 0.5000, 0.0000)
S (0.0000, 0.0000, 0.5000)
S (0.5000, 0.0000, 0.0000)
Os (0.5000, 0.5000, 0.5000)
N (0.0000, 0.0000, 0.0000)


Compound: OsS2N2
Source: Alexandria via LeMat-Bulk
Functional: PBE
Structure: relaxed

Summary:
ΔE_f (raw)	901	meV/atom
M_tot	0.0	μB/cell
distance to the lowest polymorph of the same formula	0.0	kJ/mol of atoms
calculated total energy	-6.3258	eV/atom
SG	P4/mmm (123)

Unit cell a=3.7297 b=3.7297 c=5.3759 alpha=90.00 beta=90.00 gamma=90.00
Element x y z (fractional)
S (0.5000, 0.5000, 0.5000)
S (0.0000, 0.0000, 0.5000)
Os (0.0000, 0.0000, 0.0000)
N (0.0000, 0.5000, 0.0000)
N (0.5000, 0.0000, 0.0000)


Compound: Os3SN
Source: Alexandria via LeMat-Bulk
Functional: PBE
Structure: relaxed

Summary:
ΔE_f (raw)	1241	meV/atom
M_tot	0.0	μB/cell
distance to the lowest polymorph of the same formula	0.0	kJ/mol of atoms
calculated total energy	-7.9876	eV/atom
SG	Pm-3m (221)

Unit cell a=4.0697 b=4.0697 c=4.0697 alpha=90.00 beta=90.00 gamma=90.00
Element x y z (fractional)
S (0.5000, 0.5000, 0.5000)
Os (0.0000, 0.5000, 0.0000)
Os (0.0000, 0.0000, 0.5000)
Os (0.5000, 0.0000, 0.0000)
N (0.0000, 0.0000, 0.0000)


Compound: ScOsS2N
Source: Alexandria via LeMat-Bulk
Functional: PBE
Structure: relaxed

Summary:
ΔE_f (raw)	1056	meV/atom
M_tot	4.4	μB/cell
distance to the lowest polymorph of the same formula	121.9	kJ/mol of atoms
calculated total energy	-5.7727	eV/atom
SG	P4/mmm (123)

Unit cell a=4.9041 b=4.9041 c=3.8976 alpha=90.00 beta=90.00 gamma=90.00
Element x y z (fractional)
Sc (0.0000, 0.0000, 0.0000)
S (0.0000, 0.5000, 0.0000)
S (0.5000, 0.0000, 0.0000)
Os (0.5000, 0.5000, 0.5000)
N (0.0000, 0.0000, 0.5000)


Compound: ScOsSN2
Source: Alexandria via LeMat-Bulk
Functional: PBE
Structure: relaxed

Summary:
ΔE_f (raw)	1455	meV/atom
M_tot	3.4	μB/cell
distance to the lowest polymorph of the same formula	144.1	kJ/mol of atoms
calculated total energy	-6.2131	eV/atom
SG	P4/mmm (123)

Unit cell a=3.9512 b=3.9512 c=5.1612 alpha=90.00 beta=90.00 gamma=90.00
Element x y z (fractional)
Sc (0.0000, 0.0000, 0.0000)
S (0.0000, 0.0000, 0.5000)
Os (0.5000, 0.5000, 0.5000)
N (0.0000, 0.5000, 0.0000)
N (0.5000, 0.0000, 0.0000)


Compound: ScOsSN2
Source: Alexandria via LeMat-Bulk
Functional: PBE
Structure: relaxed

Summary:
ΔE_f (raw)	-39	meV/atom
M_tot	0.0	μB/cell
distance to the lowest polymorph of the same formula	0.0	kJ/mol of atoms
calculated total energy	-7.7070	eV/atom
SG	P4/mmm (123)

Unit cell a=3.8166 b=3.8166 c=4.9529 alpha=90.00 beta=90.00 gamma=90.00
Element x y z (fractional)
Sc (0.5000, 0.5000, 0.5000)
S (0.0000, 0.0000, 0.5000)
Os (0.0000, 0.0000, 0.0000)
N (0.0000, 0.5000, 0.0000)
N (0.5000, 0.0000, 0.0000)


Compound: ScOsS2N
Source: Alexandria via LeMat-Bulk
Functional: PBE
Structure: relaxed

Summary:
ΔE_f (raw)	-208	meV/atom
M_tot	0.0	μB/cell
distance to the lowest polymorph of the same formula	0.0	kJ/mol of atoms
calculated total energy	-7.0359	eV/atom
SG	P4/mmm (123)

Unit cell a=4.8263 b=4.8263 c=3.6811 alpha=90.00 beta=90.00 gamma=90.00
Element x y z (fractional)
Sc (0.5000, 0.5000, 0.5000)
S (0.0000, 0.5000, 0.0000)
S (0.5000, 0.0000, 0.0000)
Os (0.0000, 0.0000, 0.0000)
N (0.0000, 0.0000, 0.5000)


Compound: OsSe2SN
Source: Alexandria via LeMat-Bulk
Functional: PBE
Structure: relaxed

Summary:
ΔE_f (raw)	1373	meV/atom
M_tot	0.0	μB/cell
distance to the lowest polymorph of the same formula	66.6	kJ/mol of atoms
calculated total energy	-4.7578	eV/atom
SG	P4/mmm (123)

Unit cell a=4.8803 b=4.8803 c=3.1970 alpha=90.00 beta=90.00 gamma=90.00
Element x y z (fractional)
S (0.0000, 0.0000, 0.0000)
Os (0.5000, 0.5000, 0.5000)
Se (0.0000, 0.5000, 0.0000)
Se (0.5000, 0.0000, 0.0000)
N (0.0000, 0.0000, 0.5000)


Compound: OsSeS2N
Source: Alexandria via LeMat-Bulk
Functional: PBE
Structure: relaxed

Summary:
ΔE_f (raw)	1828	meV/atom
M_tot	0.6	μB/cell
distance to the lowest polymorph of the same formula	116.3	kJ/mol of atoms
calculated total energy	-4.4312	eV/atom
SG	P4/mmm (123)

Unit cell a=4.7801 b=4.7801 c=3.4526 alpha=90.00 beta=90.00 gamma=90.00
Element x y z (fractional)
S (0.0000, 0.5000, 0.0000)
S (0.5000, 0.0000, 0.0000)
Os (0.5000, 0.5000, 0.5000)
Se (0.0000, 0.0000, 0.0000)
N (0.0000, 0.0000, 0.5000)


Compound: OsSe2SN
Source: Alexandria via LeMat-Bulk
Functional: PBE
Structure: relaxed

Summary:
ΔE_f (raw)	682	meV/atom
M_tot	0.0	μB/cell
distance to the lowest polymorph of the same formula	0.0	kJ/mol of atoms
calculated total energy	-5.4485	eV/atom
SG	P4/mmm (123)

Unit cell a=5.0387 b=5.0387 c=3.6791 alpha=90.00 beta=90.00 gamma=90.00
Element x y z (fractional)
S (0.5000, 0.5000, 0.5000)
Os (0.0000, 0.0000, 0.0000)
Se (0.0000, 0.5000, 0.0000)
Se (0.5000, 0.0000, 0.0000)
N (0.0000, 0.0000, 0.5000)


Compound: OsSeS2N
Source: Alexandria via LeMat-Bulk
Functional: PBE
Structure: relaxed

Summary:
ΔE_f (raw)	623	meV/atom
M_tot	0.0	μB/cell
distance to the lowest polymorph of the same formula	0.0	kJ/mol of atoms
calculated total energy	-5.6363	eV/atom
SG	P4/mmm (123)

Unit cell a=4.7922 b=4.7922 c=3.6968 alpha=90.00 beta=90.00 gamma=90.00
Element x y z (fractional)
S (0.0000, 0.5000, 0.0000)
S (0.5000, 0.0000, 0.0000)
Os (0.0000, 0.0000, 0.0000)
Se (0.5000, 0.5000, 0.5000)
N (0.0000, 0.0000, 0.5000)


Compound: SiOsSN2
Source: Alexandria via LeMat-Bulk
Functional: PBE
Structure: relaxed

Summary:
ΔE_f (raw)	1156	meV/atom
M_tot	0.0	μB/cell
distance to the lowest polymorph of the same formula	35.3	kJ/mol of atoms
calculated total energy	-6.3300	eV/atom
SG	P4/mmm (123)

Unit cell a=3.5583 b=3.5583 c=4.5213 alpha=90.00 beta=90.00 gamma=90.00
Element x y z (fractional)
S (0.0000, 0.0000, 0.5000)
Os (0.5000, 0.5000, 0.5000)
Si (0.0000, 0.0000, 0.0000)
N (0.0000, 0.5000, 0.0000)
N (0.5000, 0.0000, 0.0000)


Compound: SiOsSN2
Source: Alexandria via LeMat-Bulk
Functional: PBE
Structure: relaxed

Summary:
ΔE_f (raw)	790	meV/atom
M_tot	0.3	μB/cell
distance to the lowest polymorph of the same formula	0.0	kJ/mol of atoms
calculated total energy	-6.6961	eV/atom
SG	P4/mmm (123)

Unit cell a=3.7962 b=3.7962 c=5.1056 alpha=90.00 beta=90.00 gamma=90.00
Element x y z (fractional)
S (0.0000, 0.0000, 0.5000)
Os (0.0000, 0.0000, 0.0000)
Si (0.5000, 0.5000, 0.5000)
N (0.0000, 0.5000, 0.0000)
N (0.5000, 0.0000, 0.0000)


Compound: SnOsS2N
Source: Alexandria via LeMat-Bulk
Functional: PBE
Structure: relaxed

Summary:
ΔE_f (raw)	213	meV/atom
M_tot	0.0	μB/cell
distance to the lowest polymorph of the same formula	0.0	kJ/mol of atoms
calculated total energy	-6.1491	eV/atom
SG	P4/mmm (123)

Unit cell a=4.9233 b=4.9233 c=3.7159 alpha=90.00 beta=90.00 gamma=90.00
Element x y z (fractional)
S (0.0000, 0.5000, 0.0000)
S (0.5000, 0.0000, 0.0000)
Os (0.0000, 0.0000, 0.0000)
Sn (0.5000, 0.5000, 0.5000)
N (0.0000, 0.0000, 0.5000)


Compound: SnOsS2N
Source: Alexandria via LeMat-Bulk
Functional: PBE
Structure: relaxed

Summary:
ΔE_f (raw)	1765	meV/atom
M_tot	4.6	μB/cell
distance to the lowest polymorph of the same formula	149.7	kJ/mol of atoms
calculated total energy	-4.5975	eV/atom
SG	P4/mmm (123)

Unit cell a=5.0263 b=5.0263 c=3.9189 alpha=90.00 beta=90.00 gamma=90.00
Element x y z (fractional)
S (0.0000, 0.5000, 0.0000)
S (0.5000, 0.0000, 0.0000)
Os (0.5000, 0.5000, 0.5000)
Sn (0.0000, 0.0000, 0.0000)
N (0.0000, 0.0000, 0.5000)


Compound: SrOsS2N
Source: Alexandria via LeMat-Bulk
Functional: PBE
Structure: relaxed

Summary:
ΔE_f (raw)	2121	meV/atom
M_tot	4.4	μB/cell
distance to the lowest polymorph of the same formula	253.4	kJ/mol of atoms
calculated total energy	-3.7771	eV/atom
SG	P4/mmm (123)

Unit cell a=5.4196 b=5.4196 c=4.3310 alpha=90.00 beta=90.00 gamma=90.00
Element x y z (fractional)
Sr (0.0000, 0.0000, 0.0000)
S (0.0000, 0.5000, 0.0000)
S (0.5000, 0.0000, 0.0000)
Os (0.5000, 0.5000, 0.5000)
N (0.0000, 0.0000, 0.5000)


Compound: SrOsS2N
Source: Alexandria via LeMat-Bulk
Functional: PBE
Structure: relaxed

Summary:
ΔE_f (raw)	-505	meV/atom
M_tot	0.5	μB/cell
distance to the lowest polymorph of the same formula	0.0	kJ/mol of atoms
calculated total energy	-6.4036	eV/atom
SG	P4/mmm (123)

Unit cell a=4.9780 b=4.9780 c=3.7592 alpha=90.00 beta=90.00 gamma=90.00
Element x y z (fractional)
Sr (0.5000, 0.5000, 0.5000)
S (0.0000, 0.5000, 0.0000)
S (0.5000, 0.0000, 0.0000)
Os (0.0000, 0.0000, 0.0000)
N (0.0000, 0.0000, 0.5000)


Compound: TaOsSN2
Source: Alexandria via LeMat-Bulk
Functional: PBE
Structure: relaxed

Summary:
ΔE_f (raw)	959	meV/atom
M_tot	1.4	μB/cell
distance to the lowest polymorph of the same formula	0.0	kJ/mol of atoms
calculated total energy	-7.8126	eV/atom
SG	P4/mmm (123)

Unit cell a=3.7928 b=3.7928 c=4.9520 alpha=90.00 beta=90.00 gamma=90.00
Element x y z (fractional)
S (0.0000, 0.0000, 0.5000)
N (0.0000, 0.5000, 0.0000)
N (0.5000, 0.0000, 0.0000)
Os (0.0000, 0.0000, 0.0000)
Ta (0.5000, 0.5000, 0.5000)


Compound: TaOsSN2
Source: Alexandria via LeMat-Bulk
Functional: PBE
Structure: relaxed

Summary:
ΔE_f (raw)	1056	meV/atom
M_tot	3.5	μB/cell
distance to the lowest polymorph of the same formula	9.3	kJ/mol of atoms
calculated total energy	-7.7158	eV/atom
SG	P4/mmm (123)

Unit cell a=3.9357 b=3.9357 c=5.1186 alpha=90.00 beta=90.00 gamma=90.00
Element x y z (fractional)
S (0.0000, 0.0000, 0.5000)
N (0.0000, 0.5000, 0.0000)
N (0.5000, 0.0000, 0.0000)
Os (0.5000, 0.5000, 0.5000)
Ta (0.0000, 0.0000, 0.0000)


Compound: TeOsSN2
Source: Alexandria via LeMat-Bulk
Functional: PBE
Structure: relaxed

Summary:
ΔE_f (raw)	817	meV/atom
M_tot	0.8	μB/cell
distance to the lowest polymorph of the same formula	18.4	kJ/mol of atoms
calculated total energy	-6.2130	eV/atom
SG	P4/mmm (123)

Unit cell a=3.8591 b=3.8591 c=5.2776 alpha=90.00 beta=90.00 gamma=90.00
Element x y z (fractional)
S (0.0000, 0.0000, 0.5000)
Te (0.5000, 0.5000, 0.5000)
Os (0.0000, 0.0000, 0.0000)
N (0.0000, 0.5000, 0.0000)
N (0.5000, 0.0000, 0.0000)


Compound: TeOsSN2
Source: Alexandria via LeMat-Bulk
Functional: PBE
Structure: relaxed

Summary:
ΔE_f (raw)	626	meV/atom
M_tot	0.2	μB/cell
distance to the lowest polymorph of the same formula	0.0	kJ/mol of atoms
calculated total energy	-6.4036	eV/atom
SG	P4/mmm (123)

Unit cell a=3.7951 b=3.7951 c=5.9034 alpha=90.00 beta=90.00 gamma=90.00
Element x y z (fractional)
S (0.5000, 0.5000, 0.5000)
Te (0.0000, 0.0000, 0.5000)
Os (0.0000, 0.0000, 0.0000)
N (0.0000, 0.5000, 0.0000)
N (0.5000, 0.0000, 0.0000)


Compound: TeOsSN2
Source: Alexandria via LeMat-Bulk
Functional: PBE
Structure: relaxed

Summary:
ΔE_f (raw)	2068	meV/atom
M_tot	0.8	μB/cell
distance to the lowest polymorph of the same formula	139.1	kJ/mol of atoms
calculated total energy	-4.9624	eV/atom
SG	P4/mmm (123)

Unit cell a=3.5880 b=3.5880 c=7.4799 alpha=90.00 beta=90.00 gamma=90.00
Element x y z (fractional)
S (0.0000, 0.0000, 0.0000)
Te (0.0000, 0.0000, 0.5000)
Os (0.5000, 0.5000, 0.5000)
N (0.0000, 0.5000, 0.0000)
N (0.5000, 0.0000, 0.0000)